# 1
This record from Alexandria via LeMat-Bulk describes crystalline Ac2TmHg at its relaxed geometry. The functional is GGA-PBE.

Cell: 3.975 3.975 9.040 Å, 90.00 90.00 90.00°
Positions (direct):
Tm 0.500 0.500 0.500
Ac 0.000 0.000 0.771
Ac 0.000 0.000 0.229
Hg 0.500 0.500 0.000

- Theoretical density: 9.6 g/cm3
- Crystal system: tetragonal
- DFT formation energy: -0.180 eV/atom
- Total DFT energy (no corrections): -3.428 eV/atom
- Polymorph energy (0 for the lowest one): 0.0000 eV per atom
- SG: P4/mmm

***

# 2
This record from Alexandria via LeMat-Bulk describes crystalline AcTm2Hg at its relaxed geometry. The functional is GGA-PBE.

Cell: 3.705 3.705 9.018 Å, 90.00 90.00 90.00°
Positions (direct):
Hg 0.500 0.500 0.000
Tm 0.000 0.000 0.201
Ac 0.500 0.500 0.500
Tm 0.000 0.000 0.799

- Theoretical density: 10.3 g/cm3
- Crystal system: tetragonal
- DFT formation energy: -0.193 eV/atom
- Total DFT energy (no corrections): -3.531 eV/atom
- Polymorph energy (0 for the lowest one): 0.0000 eV per atom
- SG: P4/mmm

***

# 3
This record from Alexandria via LeMat-Bulk describes crystalline AcTm2Hg at its relaxed geometry. The functional is GGA-PBE.

Cell: 3.734 3.734 10.857 Å, 80.10 80.10 60.00°
Positions (direct):
Hg 0.666 0.666 0.001
Ac 0.500 0.500 0.499
Tm 0.263 0.263 0.211
Tm 0.070 0.070 0.789

- Theoretical density: 9.9 g/cm3
- Crystal system: trigonal
- DFT formation energy: -0.103 eV/atom
- Total DFT energy (no corrections): -3.442 eV/atom
- Polymorph energy (0 for the lowest one): 0.0896 eV per atom
- SG: R3m

***

# 4
This record from Alexandria via LeMat-Bulk describes crystalline Ac3TmHg6 at its relaxed geometry. The functional is GGA-PBE.

Cell: 8.118 8.118 8.118 Å, 60.00 60.00 60.00°
Positions (direct):
Tm 0.000 0.000 0.000
Hg 0.760 0.240 0.760
Hg 0.240 0.760 0.240
Hg 0.760 0.760 0.240
Hg 0.760 0.240 0.240
Hg 0.240 0.760 0.760
Hg 0.240 0.240 0.760
Ac 0.750 0.750 0.750
Ac 0.500 0.500 0.500
Ac 0.250 0.250 0.250

- Theoretical density: 9.0 g/cm3
- Crystal system: cubic
- DFT formation energy: 0.112 eV/atom
- Total DFT energy (no corrections): -1.748 eV/atom
- SG: Fm-3m

***

# 5
This record from Alexandria via LeMat-Bulk describes crystalline AcTmHg at its relaxed geometry. The functional is GGA-PBE.

Cell: 4.106 5.252 5.252 Å, 120.00 90.00 90.00°
Positions (direct):
Tm 0.499 0.667 0.333
Hg 0.501 0.333 0.667
Ac 0.000 0.000 0.000

- Theoretical density: 10.1 g/cm3
- Crystal system: hexagonal
- DFT formation energy: -0.201 eV/atom
- Total DFT energy (no corrections): -3.162 eV/atom
- Polymorph energy (0 for the lowest one): 0.1283 eV per atom
- SG: P-6m2

***

# 6
This record from Alexandria via LeMat-Bulk describes crystalline AcTmHg2 at its relaxed geometry. The functional is GGA-PBE.

Cell: 3.795 3.795 7.963 Å, 90.00 90.00 90.00°
Each line ends with the local moment (μB).
Positions (direct):
Hg 0.000 0.000 0.213  0.00
Hg 0.000 0.000 0.787  0.00
Tm 0.500 0.500 0.000  0.03
Ac 0.500 0.500 0.500  0.09

- Theoretical density: 11.5 g/cm3
- Crystal system: tetragonal
- DFT formation energy: -0.456 eV/atom
- Total DFT energy (no corrections): -2.752 eV/atom
- SG: P4/mmm

***

# 7
This record from Alexandria via LeMat-Bulk describes crystalline AcTm2Hg at its relaxed geometry. The functional is GGA-PBE.

Cell: 5.044 4.923 4.923 Å, 90.00 90.00 90.00°
Each line ends with the local moment (μB).
Positions (direct):
Hg 0.500 0.000 0.000  0.00
Tm 0.000 0.000 0.500  0.19
Ac 0.500 0.500 0.500  0.08
Tm 0.000 0.500 0.000  0.19

- Theoretical density: 10.4 g/cm3
- Crystal system: tetragonal
- DFT formation energy: -0.065 eV/atom
- Total DFT energy (no corrections): -3.403 eV/atom
- Polymorph energy (0 for the lowest one): 0.1278 eV per atom
- SG: P4/mmm

***

# 8
This record from Alexandria via LeMat-Bulk describes crystalline AcTmHg4 at its relaxed geometry. The functional is GGA-PBE.

Cell: 3.886 5.116 8.582 Å, 90.00 103.14 90.00°
Positions (direct):
Tm 0.230 0.997 0.541
Ac 0.456 0.497 0.991
Hg 0.871 0.997 0.823
Hg 0.773 0.497 0.624
Hg 0.132 0.497 0.339
Hg 0.045 0.997 0.172

- Theoretical density: 12.0 g/cm3
- Crystal system: monoclinic
- DFT formation energy: -0.379 eV/atom
- Total DFT energy (no corrections): -2.010 eV/atom
- Polymorph energy (0 for the lowest one): 0.0000 eV per atom
- SG: Pm

***

# 9
This record from Alexandria via LeMat-Bulk describes crystalline AcTmHg4 at its relaxed geometry. The functional is GGA-PBE.

Cell: 6.097 6.097 6.097 Å, 60.00 60.00 60.00°
Positions (direct):
Hg 0.625 0.625 0.126
Hg 0.126 0.625 0.625
Hg 0.625 0.126 0.625
Tm 0.250 0.250 0.250
Hg 0.625 0.625 0.625
Ac 0.000 0.000 0.000

- Theoretical density: 12.4 g/cm3
- Crystal system: cubic
- DFT formation energy: -0.233 eV/atom
- Total DFT energy (no corrections): -1.864 eV/atom
- Polymorph energy (0 for the lowest one): 0.1460 eV per atom
- SG: F-43m

***

# 10
This record from Alexandria via LeMat-Bulk describes crystalline AcTm2Hg at its relaxed geometry. The functional is GGA-PBE.

Cell: 3.713 3.713 10.834 Å, 80.13 80.13 60.00°
Positions (direct):
Tm 0.738 0.738 0.785
Hg 0.000 0.000 0.000
Ac 0.500 0.500 0.500
Tm 0.262 0.262 0.215

- Theoretical density: 10.0 g/cm3
- Crystal system: trigonal
- DFT formation energy: -0.136 eV/atom
- Total DFT energy (no corrections): -3.474 eV/atom
- Polymorph energy (0 for the lowest one): 0.0571 eV per atom
- SG: R-3m

***

# 11
This record from Alexandria via LeMat-Bulk describes crystalline Ac2YTmHg6 at its relaxed geometry. The functional is GGA-PBE.

Cell: 6.483 11.147 11.144 Å, 26.80 56.84 68.82°
Positions (direct):
Ac 0.745 0.280 0.534
Ac 0.255 0.720 0.466
Hg 0.327 0.587 0.260
Hg 0.673 0.413 0.740
Hg 0.963 0.767 0.804
Hg 0.037 0.233 0.196
Hg 0.680 0.000 0.319
Tm 0.000 0.000 0.000
Hg 0.320 0.000 0.681
Y 0.500 0.500 0.000

- Theoretical density: 11.1 g/cm3
- Crystal system: triclinic
- DFT formation energy: -0.394 eV/atom
- Total DFT energy (no corrections): -2.490 eV/atom
- SG: P-1

***

# 12
This record from Alexandria via LeMat-Bulk describes crystalline Ac2YTm2Hg5 at its relaxed geometry. The functional is GGA-PBE.

Cell: 3.987 12.090 12.090 Å, 90.00 90.00 90.00°
Each line ends with the local moment (μB).
Positions (direct):
Tm 0.000 0.628 0.872  0.04
Hg 0.500 0.186 0.076  0.00
Y 0.000 0.000 0.000  0.00
Hg 0.500 0.576 0.686  0.00
Ac 0.000 0.173 0.327  0.09
Hg 0.500 0.000 0.500  0.00
Ac 0.000 0.327 0.827  0.09
Hg 0.500 0.314 0.576  0.00
Hg 0.500 0.924 0.186  0.00
Tm 0.000 0.872 0.372  0.04
Tm 0.000 0.372 0.128  0.04
Ac 0.000 0.673 0.173  0.09
Hg 0.500 0.076 0.814  0.00
Tm 0.000 0.128 0.628  0.04
Y 0.000 0.500 0.500  0.00
Hg 0.500 0.500 0.000  0.00
Ac 0.000 0.827 0.673  0.09
Hg 0.500 0.686 0.424  0.00
Hg 0.500 0.814 0.924  0.00
Hg 0.500 0.424 0.314  0.00

- Theoretical density: 10.7 g/cm3
- Crystal system: tetragonal
- DFT formation energy: -0.358 eV/atom
- Total DFT energy (no corrections): -2.871 eV/atom
- SG: P4/mbm

***

total DFT energy (no corrections) of number 11 (Ac2YTmHg6)?
-2.490 eV/atom